A plane-wave DFT calculation with PBE with a Hubbard U was carried out for a relaxed structure of Na2WO4.

Cell: 9.2765 9.2765 9.2765 Å, 90.00 90.00 90.00°
Space group Fd-3m (No. 227, origin choice 2)
Unique sites:
1 Na 0.0000 0.0000 0.0000 (multiplicity 16)
2 W 0.1250 0.1250 0.6250 (multiplicity 8)
3 O 0.0115 0.0115 0.7385 (multiplicity 32)

Values from the calculation:
- Calculated total energy: -349.950 eV per cell